Entry 1:
A geometry-optimized LuMgTcTe structure. Source: OQMD, functional PBE-GGA.

Lattice parameters (Å, degrees): 4.892 4.892 4.892 60.00 60.00 60.00
Fractional coordinates of all 4 atoms:
1 Mg 0.750 0.750 0.750
2 Te 0.500 0.500 0.500
3 Tc 0.000 0.000 0.000
4 Lu 0.250 0.250 0.250

Relative energy among the computed polymorphs: 0.085 eV per atom

Entry 2:
A geometry-optimized LuMgTcTe structure. Source: OQMD, functional PBE-GGA.

Lattice parameters (Å, degrees): 4.790 4.790 4.790 60.00 60.00 60.00
Fractional coordinates of all 4 atoms:
1 Mg 0.750 0.750 0.750
2 Lu 0.000 0.000 0.000
3 Tc 0.250 0.250 0.250
4 Te 0.500 0.500 0.500

Relative energy among the computed polymorphs: 0.022 eV per atom

Entry 3:
A geometry-optimized LuMgTcTe structure. Source: OQMD, functional PBE-GGA.

Lattice parameters (Å, degrees): 4.825 4.825 4.825 60.00 60.00 60.00
Fractional coordinates of all 4 atoms:
1 Te 0.250 0.250 0.250
2 Mg 0.750 0.750 0.750
3 Lu 0.500 0.500 0.500
4 Tc 0.000 0.000 0.000

Relative energy among the computed polymorphs: 0.000 eV per atom

Entry 4:
A geometry-optimized LuMgTe structure. Source: OQMD, functional PBE-GGA.

Lattice parameters (Å, degrees): 5.115 5.115 5.115 60.00 60.00 60.00
Fractional coordinates of all 3 atoms:
1 Lu 0.000 0.000 0.000
2 Mg 0.250 0.250 0.250
3 Te 0.750 0.750 0.750

Relative energy among the computed polymorphs: 0.014 eV per atom

Entry 5:
A geometry-optimized LuMgTe structure. Source: OQMD, functional PBE-GGA.

Lattice parameters (Å, degrees): 5.051 5.051 5.051 60.00 60.00 60.00
Fractional coordinates of all 3 atoms:
1 Te 0.000 0.000 0.000
2 Lu 0.250 0.250 0.250
3 Mg 0.750 0.750 0.750

Relative energy among the computed polymorphs: 0.000 eV per atom

Entry 6:
A geometry-optimized LuMgTlTe3 structure. Source: OQMD, functional PBE-GGA.

Lattice parameters (Å, degrees): 8.014 8.014 11.584 90.00 90.00 148.10
Fractional coordinates of all 12 atoms:
1 Te 0.634 0.366 0.951
2 Te 0.366 0.634 0.451
3 Te 0.926 0.074 0.750
4 Te 0.074 0.926 0.250
5 Te 0.634 0.366 0.549
6 Te 0.366 0.634 0.049
7 Tl 0.245 0.755 0.750
8 Tl 0.755 0.245 0.250
9 Mg 0.462 0.538 0.250
10 Mg 0.538 0.462 0.750
11 Lu 0.000 0.000 0.000
12 Lu 0.000 0.000 0.500

| no. | total energy (eV/atom) |
| --- | --- |
| 1 | -4.79 |
| 2 | -4.86 |
| 3 | -4.88 |
| 4 | -3.19 |
| 5 | -3.20 |
| 6 | -3.90 |